# Cu4Pd3Pt4

A geometry-optimized Cu4Pd3Pt4 structure (PBE, Alexandria via LeMat-Bulk).

The space group is Immm (No. 71) and the conventional cell measures 2.740, 7.264 and 16.417 Å, with angles of 90.00, 90.00 and 90.00 degrees. The distinct sites, in fractional coordinates, are Cu at (0.000, 0.000, 0.243), Cu at (0.000, 0.187, 0.000), Pd at (0.000, 0.000, 0.500), Pd at (0.000, 0.500, 0.391) and Pt at (0.000, 0.316, 0.146).

The value obtained for the final energy is -111.834 eV for the cell shown. The value obtained for the formation energy is 0.21 eV/f.u.